! GGA-PBE Th4Bi2Pt, optimized geometry; values from VASP
&SYSTEM
  ibrav = 0, nat = 7, ntyp = 3
/
ATOMIC_SPECIES
Th 232.04 Th.upf
Bi 208.98 Bi.upf
Pt 195.08 Pt.upf
ATOMIC_POSITIONS angstrom
Th -2.493 -4.149 4.321
Th 4.412 -1.702 1.724
Th 0.574 -2.816 0.583
Th 1.345 -3.035 5.461
Bi 2.609 -4.256 2.663
Bi -0.690 -1.595 3.381
Pt 0.000 0.000 0.000
CELL_PARAMETERS angstrom
-0.695 -3.726 -1.899
7.067 -1.588 0.528
-4.453 -0.537 7.416
! E_form	-0.465	eV/atom
! final energy	-6.676	eV/atom
! magnetic moment	0.00	μB per formula unit
! symmetry	C2/m, No. 12